RbTe2MoI | PBE-GGA | optimized geometry

The value obtained for the theoretical density is 5.4 g/cm³. The calculation puts the total moment at 0.074 μB/atom. The calculation puts the energy relative to the lowest polymorph listed for this composition at 0.000 eV per formula unit. The formation energy without anion corrections is -0.20 eV/atom.

The structure belongs to space group P4/mmm (No. 123); the cell edges are 5.3066, 5.3066 and 6.2016 Å and the angles 90.00°, 90.00° and 90.00°. The inequivalent atoms are Rb at (0.0000, 0.0000, 0.0000), Te at (0.0000, 0.5000, 0.5000), Mo at (0.5000, 0.5000, 0.5000) and I at (0.5000, 0.5000, 0.0000).